PBE YSc2Re, optimized geometry; Fermi-level density of states = 1.013 states/eV per atom; ΔE to the lowest computed polymorph = 205 meV/atom; total magnetic moment = 0.00 μB/f.u.; symmetry = Pmmm; uncorrected energy = -30.71 eV/cell
1.0
-0.663 1.724 3.761
1.152 -3.761 1.927
4.470 1.435 0.130
Sc Re Y
2 1 1
direct
0.500 0.500 0.000
0.000 0.000 0.000
0.000 0.500 0.500
0.500 0.000 0.500